Density functional theory data (GGA+U) for crystalline Ti3Bi6WO18 at its relaxed geometry.

Calculated values
Volume = 13.638 Å³ per atom
Raw total energy = -7.082 eV/atom

abc: 5.432 5.495 13.071
angles: 89.83 78.19 89.94
Fractional positions:
Ti: 0.000 0.000 0.000
Ti: 0.174 0.005 0.652
Ti: 0.673 0.510 0.650
Bi: 0.093 0.453 0.813
Bi: 0.300 0.435 0.428
Bi: 0.353 0.936 0.226
Bi: 0.600 0.966 0.813
Bi: 0.755 0.929 0.428
Bi: 0.899 0.426 0.224
W: 0.504 0.513 0.998
O: 0.003 0.051 0.837
O: 0.006 0.033 0.139
O: 0.070 0.704 0.328
O: 0.087 0.206 0.329
O: 0.242 0.750 0.963
O: 0.299 0.012 0.515
O: 0.304 0.257 0.959
O: 0.351 0.518 0.140
O: 0.371 0.747 0.697
O: 0.429 0.248 0.699
O: 0.570 0.702 0.327
O: 0.587 0.203 0.326
O: 0.654 0.552 0.839
O: 0.682 0.513 0.514
O: 0.701 0.812 0.011
O: 0.779 0.318 0.010
O: 0.867 0.821 0.664
O: 0.963 0.322 0.664